No. 1
CsPuICl2 | PBE | relaxed

Values from the calculation:
total magnetization: 6.0 μB/cell
space-group type: P4mm, No. 99
electronic total energy: -28.62 eV/f.u.
E_form (uncorrected): -1.6382 eV/atom

Cell and atoms, written as POSCAR:
```
CsPuICl2
1.0
5.614 0.000 0.000
0.000 5.614 0.000
0.000 0.000 6.467
Cs Pu I Cl
1 1 1 2
Cartesian
0.000 0.000 0.000 Cs
2.807 2.807 2.571 Pu
2.807 2.807 5.759 I
0.000 2.807 2.371 Cl
2.807 0.000 2.371 Cl
```

No. 2
MgZnB2 | PBE | relaxed

Values from the calculation:
total magnetization: 0.0 μB/cell
space-group type: I4_1/amd, No. 141
energy above the lowest structure with this stoichiometry: 0.000 eV/atom
electronic total energy: -13.53 eV/f.u.

Cell and atoms, written as POSCAR:
```
MgZnB2
1.0
3.782 0.000 0.000
0.000 3.782 0.000
0.000 0.000 14.366
Mg Zn B
4 4 8
Cartesian
0.000 0.946 5.387 Mg
0.000 2.837 8.979 Mg
1.891 0.946 1.796 Mg
1.891 2.837 12.570 Mg
0.000 0.946 12.570 Zn
0.000 2.837 1.796 Zn
1.891 0.946 8.979 Zn
1.891 2.837 5.387 Zn
0.000 0.000 0.000 B
0.000 1.891 0.000 B
0.946 0.946 10.774 B
0.946 2.837 3.591 B
1.891 0.000 7.183 B
1.891 1.891 7.183 B
2.837 0.946 10.774 B
2.837 2.837 3.591 B
```

- What is the total magnetization in the first record?
  6.0 μB/cell